# K2Zr3MnO8 PBE with a Hubbard U optimized geometry
data_K2Zr3MnO8
_chemical_formula_sum 'K6 Zr9 Mn3 O24'
_cell_length_a 6.5450
_cell_length_b 6.5450
_cell_length_c 19.6614
_cell_angle_alpha 90.00
_cell_angle_beta 90.00
_cell_angle_gamma 120.00
_symmetry_space_group_name_H-M 'R 3 m'
_symmetry_Int_Tables_number 160
_symmetry_space_group_name_Hall 'R 3 -2"'
loop_
_atom_site_label
_atom_site_type_symbol
_atom_site_fract_x
_atom_site_fract_y
_atom_site_fract_z
_atom_site_occupancy
K1 K 0.0000 0.0000 0.0000 1
K2 K 0.0000 0.0000 0.3557 1
Zr1 Zr 0.0007 0.5003 0.5001 1
Mn1 Mn 0.0000 0.0000 0.5239 1
O1 O 0.0000 0.0000 0.2223 1
O2 O 0.0000 0.0000 0.7803 1
O3 O 0.0162 0.5081 0.7813 1
O4 O 0.1784 0.3569 0.5572 1
# Magnetization, μB per formula unit: 5.00
# Density of states at the Fermi level, states/eV/f.u.: 0.0
# Volume, Å³/f.u.: 243.1
# DFT total energy, eV per cell: -338.14